# K2SrTl (meta-GGA SCAN, PBEsol geometry)
# * excess energy over the best structure of this formula in the dataset: 0.00 eV per formula unit
# * ΔH_f (0 K): -189.7 meV/atom
# * crystal system: monoclinic
data_K2SrTl
_symmetry_space_group_name_H-M 'P 1 m 1'
_symmetry_Int_Tables_number 6
_cell_length_a 4.196
_cell_length_b 4.195
_cell_length_c 10.926
_cell_angle_alpha 90.00
_cell_angle_beta 90.12
_cell_angle_gamma 90.00
loop_
_symmetry_equiv_pos_as_xyz
'x,y,z'
'x,-y,z'
loop_
_atom_site_label
_atom_site_type_symbol
_atom_site_fract_x
_atom_site_fract_y
_atom_site_fract_z
K1 K 0.000 0.000 0.000
K2 K 0.494 0.500 0.341
Sr1 Sr 0.999 0.000 0.643
Tl1 Tl 0.500 0.500 0.790

---

# K2SrTl2 (meta-GGA SCAN, PBEsol geometry)
# * ΔH_f (0 K): -167.3 meV/atom
# * crystal system: tetragonal
data_K2SrTl2
_symmetry_space_group_name_H-M 'I 4/m m m'
_symmetry_Int_Tables_number 139
_symmetry_space_group_name_Hall '-I 4 2'
_cell_length_a 4.805
_cell_length_b 4.805
_cell_length_c 16.517
_cell_angle_alpha 90.00
_cell_angle_beta 90.00
_cell_angle_gamma 90.00
loop_
_atom_site_label
_atom_site_type_symbol
_atom_site_fract_x
_atom_site_fract_y
_atom_site_fract_z
K1 K 0.000 0.500 0.250
Sr1 Sr 0.000 0.000 0.000
Tl1 Tl 0.000 0.000 0.409

---

# K2SrTl (meta-GGA SCAN, PBEsol geometry)
# * excess energy over the best structure of this formula in the dataset: 1.03 eV per formula unit
# * ΔH_f (0 K): 68.8 meV/atom
# * crystal system: cubic
data_K2SrTl
_symmetry_space_group_name_H-M 'F m -3 m'
_symmetry_Int_Tables_number 225
_symmetry_space_group_name_Hall '-F 4 2 3'
_cell_length_a 8.798
_cell_length_b 8.798
_cell_length_c 8.798
_cell_angle_alpha 90.00
_cell_angle_beta 90.00
_cell_angle_gamma 90.00
loop_
_atom_site_label
_atom_site_type_symbol
_atom_site_fract_x
_atom_site_fract_y
_atom_site_fract_z
K1 K 0.250 0.250 0.250
Sr1 Sr 0.000 0.000 0.000
Tl1 Tl 0.000 0.000 0.500

---

# K2SrW (meta-GGA SCAN, PBEsol geometry)
# * ΔH_f (0 K): 1592.8 meV/atom
# * crystal system: orthorhombic
data_K2SrW
_symmetry_space_group_name_H-M 'P m m m'
_symmetry_Int_Tables_number 47
_cell_length_a 3.075
_cell_length_b 6.434
_cell_length_c 6.630
_cell_angle_alpha 90.00
_cell_angle_beta 90.00
_cell_angle_gamma 90.00
loop_
_symmetry_equiv_pos_as_xyz
'x,y,z'
'-x,-y,-z'
'-x,-y,z'
'x,y,-z'
'x,-y,-z'
'-x,y,z'
'-x,y,-z'
'x,-y,z'
loop_
_atom_site_label
_atom_site_type_symbol
_atom_site_fract_x
_atom_site_fract_y
_atom_site_fract_z
K1 K 0.000 0.000 0.226
Sr1 Sr 0.500 0.500 0.500
W1 W 0.500 0.500 0.000

---

# KSrW3 (meta-GGA SCAN, PBEsol geometry)
# * ΔH_f (0 K): 3999.3 meV/atom
# * crystal system: cubic
data_KSrW3
_symmetry_space_group_name_H-M 'P m -3 m'
_symmetry_Int_Tables_number 221
_symmetry_space_group_name_Hall '-P 4 2 3'
_cell_length_a 4.931
_cell_length_b 4.931
_cell_length_c 4.931
_cell_angle_alpha 90.00
_cell_angle_beta 90.00
_cell_angle_gamma 90.00
loop_
_atom_site_label
_atom_site_type_symbol
_atom_site_fract_x
_atom_site_fract_y
_atom_site_fract_z
K1 K 0.000 0.000 0.000
Sr1 Sr 0.500 0.500 0.500
W1 W 0.000 0.500 0.500

---

# K2SrY (meta-GGA SCAN, PBEsol geometry)
# * excess energy over the best structure of this formula in the dataset: 0.34 eV per formula unit
# * ΔH_f (0 K): 523.0 meV/atom
# * crystal system: cubic
data_K2SrY
_symmetry_space_group_name_H-M 'F -4 3 m'
_symmetry_Int_Tables_number 216
_symmetry_space_group_name_Hall 'F -4 2 3'
_cell_length_a 9.277
_cell_length_b 9.277
_cell_length_c 9.277
_cell_angle_alpha 90.00
_cell_angle_beta 90.00
_cell_angle_gamma 90.00
loop_
_atom_site_label
_atom_site_type_symbol
_atom_site_fract_x
_atom_site_fract_y
_atom_site_fract_z
K1 K 0.000 0.000 0.000
K2 K 0.250 0.250 0.250
Sr1 Sr 0.250 0.250 0.750
Y1 Y 0.000 0.000 0.500

---

# KSr2Y (meta-GGA SCAN, PBEsol geometry)
# * ΔH_f (0 K): 316.5 meV/atom
# * crystal system: tetragonal
data_KSr2Y
_symmetry_space_group_name_H-M 'P 4/m m m'
_symmetry_Int_Tables_number 123
_symmetry_space_group_name_Hall '-P 4 2'
_cell_length_a 6.606
_cell_length_b 6.606
_cell_length_c 4.140
_cell_angle_alpha 90.00
_cell_angle_beta 90.00
_cell_angle_gamma 90.00
loop_
_atom_site_label
_atom_site_type_symbol
_atom_site_fract_x
_atom_site_fract_y
_atom_site_fract_z
K1 K 0.000 0.000 0.000
Sr1 Sr 0.000 0.500 0.500
Y1 Y 0.500 0.500 0.000

---

# K2SrY (meta-GGA SCAN, PBEsol geometry)
# * excess energy over the best structure of this formula in the dataset: 0.15 eV per formula unit
# * ΔH_f (0 K): 477.8 meV/atom
# * crystal system: tetragonal
data_K2SrY
_symmetry_space_group_name_H-M 'P 4/m m m'
_symmetry_Int_Tables_number 123
_symmetry_space_group_name_Hall '-P 4 2'
_cell_length_a 5.346
_cell_length_b 5.346
_cell_length_c 6.832
_cell_angle_alpha 90.00
_cell_angle_beta 90.00
_cell_angle_gamma 90.00
loop_
_atom_site_label
_atom_site_type_symbol
_atom_site_fract_x
_atom_site_fract_y
_atom_site_fract_z
K1 K 0.000 0.500 0.000
Sr1 Sr 0.000 0.000 0.500
Y1 Y 0.500 0.500 0.500

---

# K2SrY (meta-GGA SCAN, PBEsol geometry)
# * excess energy over the best structure of this formula in the dataset: 0.00 eV per formula unit
# * ΔH_f (0 K): 439.1 meV/atom
# * crystal system: orthorhombic
data_K2SrY
_symmetry_space_group_name_H-M 'P m m m'
_symmetry_Int_Tables_number 47
_cell_length_a 3.697
_cell_length_b 6.894
_cell_length_c 7.578
_cell_angle_alpha 90.00
_cell_angle_beta 90.00
_cell_angle_gamma 90.00
loop_
_symmetry_equiv_pos_as_xyz
'x,y,z'
'-x,-y,-z'
'-x,-y,z'
'x,y,-z'
'x,-y,-z'
'-x,y,z'
'-x,y,-z'
'x,-y,z'
loop_
_atom_site_label
_atom_site_type_symbol
_atom_site_fract_x
_atom_site_fract_y
_atom_site_fract_z
K1 K 0.000 0.000 0.239
Sr1 Sr 0.500 0.500 0.500
Y1 Y 0.500 0.500 0.000

---

# K2SrY (meta-GGA SCAN, PBEsol geometry)
# * excess energy over the best structure of this formula in the dataset: 0.47 eV per formula unit
# * ΔH_f (0 K): 556.3 meV/atom
# * crystal system: tetragonal
data_K2SrY
_symmetry_space_group_name_H-M 'P 4/m m m'
_symmetry_Int_Tables_number 123
_symmetry_space_group_name_Hall '-P 4 2'
_cell_length_a 6.828
_cell_length_b 6.828
_cell_length_c 4.190
_cell_angle_alpha 90.00
_cell_angle_beta 90.00
_cell_angle_gamma 90.00
loop_
_atom_site_label
_atom_site_type_symbol
_atom_site_fract_x
_atom_site_fract_y
_atom_site_fract_z
K1 K 0.000 0.500 0.000
Sr1 Sr 0.000 0.000 0.500
Y1 Y 0.500 0.500 0.500

---

# K2SrY (meta-GGA SCAN, PBEsol geometry)
# * excess energy over the best structure of this formula in the dataset: 0.16 eV per formula unit
# * ΔH_f (0 K): 479.6 meV/atom
# * crystal system: tetragonal
data_K2SrY
_symmetry_space_group_name_H-M 'I 4/m m m'
_symmetry_Int_Tables_number 139
_symmetry_space_group_name_Hall '-I 4 2'
_cell_length_a 5.357
_cell_length_b 5.357
_cell_length_c 13.605
_cell_angle_alpha 90.00
_cell_angle_beta 90.00
_cell_angle_gamma 90.00
loop_
_atom_site_label
_atom_site_type_symbol
_atom_site_fract_x
_atom_site_fract_y
_atom_site_fract_z
K1 K 0.000 0.500 0.250
Sr1 Sr 0.000 0.000 0.000
Y1 Y 0.000 0.000 0.500

---

# KSr3Zn (meta-GGA SCAN, PBEsol geometry)
# * ΔH_f (0 K): -12.2 meV/atom
# * crystal system: cubic
data_KSr3Zn
_symmetry_space_group_name_H-M 'P m -3 m'
_symmetry_Int_Tables_number 221
_symmetry_space_group_name_Hall '-P 4 2 3'
_cell_length_a 6.254
_cell_length_b 6.254
_cell_length_c 6.254
_cell_angle_alpha 90.00
_cell_angle_beta 90.00
_cell_angle_gamma 90.00
loop_
_atom_site_label
_atom_site_type_symbol
_atom_site_fract_x
_atom_site_fract_y
_atom_site_fract_z
K1 K 0.000 0.000 0.000
Sr1 Sr 0.000 0.500 0.500
Zn1 Zn 0.500 0.500 0.500

---

Please write out number 2 again, unchanged.
# K2SrTl2 (meta-GGA SCAN, PBEsol geometry)
# * ΔH_f (0 K): -167.3 meV/atom
# * crystal system: tetragonal
data_K2SrTl2
_symmetry_space_group_name_H-M 'I 4/m m m'
_symmetry_Int_Tables_number 139
_symmetry_space_group_name_Hall '-I 4 2'
_cell_length_a 4.805
_cell_length_b 4.805
_cell_length_c 16.517
_cell_angle_alpha 90.00
_cell_angle_beta 90.00
_cell_angle_gamma 90.00
loop_
_atom_site_label
_atom_site_type_symbol
_atom_site_fract_x
_atom_site_fract_y
_atom_site_fract_z
K1 K 0.000 0.500 0.250
Sr1 Sr 0.000 0.000 0.000
Tl1 Tl 0.000 0.000 0.409

---

> Which value of ΔH_f (0 K) does entry 12 give?

-12.2 meV/atom